DFT (GGA+U) results for crystalline LiNi2F4 at its relaxed geometry.

total moment: 3.0 μB per formula unit
density: 4.06 Mg/m³
final energy: -4.104 eV/atom

Lattice parameters (Å, degrees): 5.8390 6.0085 9.3525 90.00 90.00 90.00
Closest atoms and distances in Å follow each position.
Space group Imma (No. 74)
One atom of each set of equivalent atoms:
Li 0.0000 0.2500 0.1478  4 F 1.95-1.97
Ni 0.0000 0.0000 0.5000  6 F 2.04-2.06
Ni 0.2500 0.2500 0.7500  4 F 2.09
F 0.0000 0.0063 0.7202  1 Li 1.97, 3 Ni 2.06-2.09
F 0.2332 0.2500 0.4774  1 Li 1.95, 2 Ni 2.04